{
  "formula": "VCdIr",
  "functional": "PBE-GGA",
  "state": "optimized geometry",
  "lattice": [[0.0000, 3.6848, 5.3238], [2.5874, 0.0000, 5.3238], [2.5874, 3.6848, 0.0000]],
  "species": ["V", "V", "Cd", "Cd", "Ir", "Ir"],
  "fractional_positions": [[0.2500, 0.2500, 0.2500], [0.7500, 0.7500, 0.7500], [0.1747, 0.8253, 0.1747], [0.8253, 0.1747, 0.8253], [0.3681, 0.3681, 0.6319], [0.6319, 0.6319, 0.3681]],
  "energy_ev_per_atom": -6.197,
  "vol_a3_per_cell": 101.5,
  "formation_enthalpy_0k_ev_per_fu": 0.30
}